VASP calculation (GGA-PBE) on a relaxed NaNb3Bi5 crystal.

E_tot ... -5.799 eV per atom
Crystal system ... hexagonal

a = 5.8453 Å, b = 5.8453 Å, c = 9.0075 Å
α = 90.00°, β = 90.00°, γ = 120.00°
Space group P6/mmm (No. 191)
Symmetry-distinct sites (fractional):
Na 0.0000 0.0000 0.0000 x1
Nb 0.0000 0.5000 0.5000 x3
Bi 0.0000 0.0000 0.5000 x1
Bi 0.3333 0.6667 0.2193 x4